Entry 1:
PBE PrNd2HoTm2, optimized geometry; raw total energy = -4.57 eV per atom; M_tot = 0.00 μB per formula unit; crystal system = orthorhombic; DOS at the Fermi energy = 9.3 states/eV/f.u.; E_form = 0.07 eV/atom
1.0
5.669 0.000 0.000
0.000 9.860 0.000
0.000 0.000 7.044
Ho Pr Tm Nd
2 2 4 4
Cartesian
0.000 0.000 3.522
2.834 4.930 0.000
0.000 0.000 0.000
2.834 4.930 3.522
2.834 1.646 1.760
0.000 6.577 1.762
0.000 3.284 5.282
2.834 8.214 5.285
0.000 6.572 5.303
2.834 1.642 5.263
2.834 8.219 1.781
0.000 3.289 1.741

***

Entry 2:
PBE Pr4Nd2HoTm, optimized geometry; raw total energy = -4.70 eV per atom; M_tot = 0.00 μB per formula unit; crystal system = monoclinic; DOS at the Fermi energy = 11.3 states/eV/f.u.; E_form = 0.01 eV/atom
1.0
-5.185 0.130 -0.405
-0.339 -4.199 2.998
-0.840 1.765 11.322
Pr Nd Ho Tm
4 2 1 1
Cartesian
-3.308 0.340 9.038
-0.884 -1.833 10.731
-3.057 -2.644 4.877
-5.481 -0.471 3.185
-0.840 1.765 11.322
-3.013 0.947 5.458
-2.762 -2.034 1.297
-0.590 -1.217 7.160